No. 1
Computed, not measured: InAg2Pt after structural relaxation at the GGA-PBE level of DFT.

Properties
- raw total energy (Ry/atom) = -0.2731
- space-group type = No. 10
- N(E_F) (states/eV/cell) = 1.12
- energy of formation (eV per atom) = -0.0946
- M_tot (μB/cell) = 0.00

a b c (Å): 5.078 2.970 4.859
angles (deg): 88.01 90.00 90.00
Fractional positions:
Ag (0.000, 0.998, 0.997)
Ag (0.000, 0.502, 0.503)
Pt (0.500, 0.750, 0.750)
In (0.500, 0.250, 0.250)

No. 2
Computed, not measured: Sm3Y8Sc3 after structural relaxation at the GGA-PBE level of DFT.

Properties
- raw total energy (Ry/atom) = -0.4163
- space-group type = No. 71
- N(E_F) (states/eV/cell) = 19.06
- energy of formation (eV per atom) = 0.3981
- M_tot (μB/cell) = 0.00

a b c (Å): 5.427 10.245 10.245
angles (deg): 55.93 74.64 74.64
Fractional positions:
Sm (0.500, 0.000, 0.000)
Sm (0.000, 0.742, 0.258)
Sm (0.000, 0.258, 0.742)
Y (0.624, 0.115, 0.638)
Y (0.376, 0.885, 0.362)
Y (0.624, 0.638, 0.115)
Y (0.376, 0.362, 0.885)
Y (0.800, 0.856, 0.545)
Y (0.200, 0.144, 0.455)
Y (0.800, 0.545, 0.856)
Y (0.200, 0.455, 0.144)
Sc (0.500, 0.500, 0.500)
Sc (0.831, 0.169, 0.169)
Sc (0.169, 0.831, 0.831)

No. 3
Computed, not measured: Co2HgH2 after structural relaxation at the GGA-PBE level of DFT.

Properties
- energy above the most stable polymorph in this dataset (meV per atom) = 0
- raw total energy (Ry/atom) = -0.2971
- space-group type = No. 139
- N(E_F) (states/eV/cell) = 4.96
- M_tot (μB/cell) = 1.99

a b c (Å): 3.095 3.095 5.457
angles (deg): 73.53 73.53 90.00
Fractional positions:
H (0.750, 0.250, 0.500)
H (0.250, 0.750, 0.500)
Co (0.322, 0.322, 0.356)
Co (0.678, 0.678, 0.644)
Hg (0.000, 0.000, 0.000)

No. 4
Computed, not measured: CaMg2 after structural relaxation at the GGA-PBE level of DFT.

Properties
- raw total energy (Ry/atom) = -0.1297
- space-group type = No. 62
- N(E_F) (states/eV/cell) = 9.02
- energy of formation (eV per atom) = -0.0348
- M_tot (μB/cell) = 0.00

a b c (Å): 6.623 5.239 9.763
angles (deg): 90.00 90.00 90.00
Fractional positions:
Ca (0.163, 0.250, 0.918)
Ca (0.337, 0.750, 0.418)
Ca (0.663, 0.250, 0.582)
Ca (0.837, 0.750, 0.082)
Mg (0.056, 0.250, 0.270)
Mg (0.155, 0.250, 0.586)
Mg (0.345, 0.750, 0.086)
Mg (0.444, 0.750, 0.770)
Mg (0.556, 0.250, 0.230)
Mg (0.655, 0.250, 0.914)
Mg (0.845, 0.750, 0.414)
Mg (0.944, 0.750, 0.730)

No. 5
Computed, not measured: Zr2BeVCl after structural relaxation at the GGA-PBE level of DFT.

Properties
- raw total energy (Ry/atom) = -0.4362
- uncorrected formation energy (eV/f.u.) = 2.11
- space-group type = No. 123
- N(E_F) (states/eV/cell) = 5.56
- M_tot (μB/cell) = 1.44

a b c (Å): 4.773 4.215 4.773
angles (deg): 90.00 90.00 90.00
Fractional positions:
Be (0.500, 0.500, 0.500)
Cl (0.000, 0.000, 0.000)
Zr (0.000, 0.000, 0.500)
Zr (0.500, 0.000, 0.000)
V (0.000, 0.500, 0.000)

No. 6
Computed, not measured: Th3B2Ir7 after structural relaxation at the GGA-PBE level of DFT.

Properties
- raw total energy (Ry/atom) = -0.6532
- space-group type = No. 65
- N(E_F) (states/eV/cell) = 5.98
- energy of formation (eV per atom) = -0.7501
- M_tot (μB/cell) = 0.00

a b c (Å): 4.063 4.066 12.677
angles (deg): 99.23 90.00 90.00
Fractional positions:
Th (0.500, 0.500, 0.000)
Th (0.500, 0.677, 0.355)
Th (0.500, 0.323, 0.645)
B (0.000, 0.873, 0.745)
B (0.000, 0.127, 0.255)
Ir (0.000, 0.411, 0.823)
Ir (0.000, 0.786, 0.573)
Ir (0.000, 0.000, 0.000)
Ir (0.000, 0.589, 0.177)
Ir (0.500, 0.089, 0.177)
Ir (0.500, 0.911, 0.823)
Ir (0.000, 0.214, 0.427)

No. 7
Computed, not measured: KMg2P2O8 after structural relaxation at the GGA-PBE level of DFT.

Properties
- raw total energy (Ry/atom) = -0.4834
- uncorrected formation energy (eV/f.u.) = -30.73
- space-group type = No. 15
- N(E_F) (states/eV/cell) = 26.67
- M_tot (μB/cell) = 2.29

a b c (Å): 10.140 10.140 9.459
angles (deg): 59.20 59.20 32.27
Fractional positions:
K (0.831, 0.169, 0.750)
K (0.169, 0.831, 0.250)
Mg (0.537, 0.161, 0.557)
Mg (0.463, 0.839, 0.443)
Mg (0.839, 0.463, 0.943)
Mg (0.161, 0.537, 0.057)
P (0.327, 0.952, 0.791)
P (0.673, 0.048, 0.209)
P (0.048, 0.673, 0.709)
P (0.952, 0.327, 0.291)
O (0.350, 0.860, 0.681)
O (0.650, 0.140, 0.319)
O (0.140, 0.650, 0.819)
O (0.860, 0.350, 0.181)
O (0.835, 0.952, 0.627)
O (0.165, 0.048, 0.373)
O (0.048, 0.165, 0.873)
O (0.952, 0.835, 0.127)
O (0.486, 0.731, 0.930)
O (0.514, 0.269, 0.070)
O (0.269, 0.514, 0.570)
O (0.731, 0.486, 0.430)
O (0.420, 0.044, 0.685)
O (0.580, 0.956, 0.315)
O (0.956, 0.580, 0.815)
O (0.044, 0.420, 0.185)

No. 8
Computed, not measured: Cs2Cd12AgAu3 after structural relaxation at the GGA-PBE level of DFT.

Properties
- raw total energy (Ry/atom) = -0.1009
- space-group type = No. 166
- N(E_F) (states/eV/cell) = 6.41
- energy of formation (eV per atom) = 0.0370
- M_tot (μB/cell) = 0.00

a b c (Å): 9.361 9.361 9.361
angles (deg): 62.49 62.49 62.49
Fractional positions:
Cs (0.598, 0.598, 0.598)
Cs (0.402, 0.402, 0.402)
Cd (0.336, 0.336, 0.001)
Cd (0.887, 0.887, 0.351)
Cd (0.351, 0.887, 0.887)
Cd (0.001, 0.336, 0.336)
Cd (0.887, 0.351, 0.887)
Cd (0.336, 0.001, 0.336)
Cd (0.664, 0.664, 0.999)
Cd (0.113, 0.113, 0.649)
Cd (0.649, 0.113, 0.113)
Cd (0.999, 0.664, 0.664)
Cd (0.113, 0.649, 0.113)
Cd (0.664, 0.999, 0.664)
Ag (0.000, 0.000, 0.000)
Au (0.500, 0.000, 0.000)
Au (0.000, 0.500, 0.000)
Au (0.000, 0.000, 0.500)

No. 9
Computed, not measured: Ba2SnPd4Pb3 after structural relaxation at the GGA-PBE level of DFT.

Properties
- raw total energy (Ry/atom) = -0.3325
- space-group type = No. 115
- N(E_F) (states/eV/cell) = 5.45
- energy of formation (eV per atom) = -0.5493
- M_tot (μB/cell) = 0.00

a b c (Å): 4.907 4.907 11.004
angles (deg): 90.00 90.00 90.00
Fractional positions:
Ba (0.500, 0.000, 0.246)
Ba (0.000, 0.500, 0.754)
Sn (0.500, 0.500, 0.500)
Pd (0.500, 0.500, 0.000)
Pd (0.000, 0.000, 0.000)
Pd (0.500, 0.000, 0.626)
Pd (0.000, 0.500, 0.374)
Pb (0.000, 0.000, 0.500)
Pb (0.500, 0.000, 0.882)
Pb (0.000, 0.500, 0.118)

No. 10
Computed, not measured: Pm2Dy8Th3 after structural relaxation at the GGA-PBE level of DFT.

Properties
- energy above the most stable polymorph in this dataset (meV per atom) = 93
- raw total energy (Ry/atom) = -0.3680
- space-group type = No. 12
- N(E_F) (states/eV/cell) = 23.08
- energy of formation (eV per atom) = 0.2689
- M_tot (μB/cell) = 0.00

a b c (Å): 5.552 7.871 10.847
angles (deg): 111.27 90.07 90.00
Fractional positions:
Pm (0.498, 0.239, 0.478)
Pm (0.502, 0.761, 0.522)
Dy (0.001, 0.666, 0.332)
Dy (0.999, 0.334, 0.668)
Dy (0.000, 0.125, 0.251)
Dy (0.000, 0.875, 0.749)
Dy (0.499, 0.599, 0.788)
Dy (0.499, 0.189, 0.788)
Dy (0.501, 0.811, 0.212)
Dy (0.501, 0.401, 0.212)
Th (0.500, 0.000, 0.000)
Th (0.000, 0.296, 0.000)
Th (0.000, 0.704, 0.000)

No. 11
Computed, not measured: TlHgPbSe2 after structural relaxation at the GGA-PBE level of DFT.

Properties
- raw total energy (Ry/atom) = -0.2076
- uncorrected formation energy (eV/f.u.) = -0.78
- space-group type = No. 13
- N(E_F) (states/eV/cell) = 3.67
- M_tot (μB/cell) = 0.00

a b c (Å): 6.411 6.120 8.659
angles (deg): 95.48 90.00 90.00
Fractional positions:
Tl (0.131, 0.500, 0.750)
Tl (0.869, 0.500, 0.250)
Hg (0.000, 0.000, 0.000)
Hg (0.000, 0.000, 0.500)
Pb (0.575, 0.000, 0.250)
Pb (0.425, 0.000, 0.750)
Se (0.708, 0.733, 0.930)
Se (0.708, 0.267, 0.570)
Se (0.292, 0.733, 0.430)
Se (0.292, 0.267, 0.070)

No. 12
Computed, not measured: BaMnSe2 after structural relaxation at the GGA-PBE level of DFT.

Properties
- raw total energy (Ry/atom) = -0.3844
- uncorrected formation energy (eV/f.u.) = -2.86
- space-group type = No. 123
- N(E_F) (states/eV/cell) = 0.52
- M_tot (μB/cell) = 5.00

a b c (Å): 3.685 3.685 7.510
angles (deg): 90.00 90.00 90.00
Fractional positions:
Ba (0.500, 0.500, 0.250)
Mn (0.500, 0.500, 0.750)
Se (0.000, 0.000, 0.967)
Se (0.000, 0.000, 0.533)